No. 1
{"formula": "HfPPdS2", "functional": "GGA-PBE", "state": "optimized geometry", "dos_at_fermi_per_ev_cell": 6.03, "final_energy_ev_per_atom": -5.66, "formation_energy_uncorrected_ev_per_atom": 0.1063, "polymorph_energy_mev_per_atom": 0, "magnetic_moment_mub_per_fu": 0.000, "lattice": [[-0.8355, 2.7004, 3.9356], [-4.7006, 0.2278, -1.1542], [-0.8660, -4.2002, 2.6981]], "species": ["Pd", "Hf", "S", "S", "P"], "fractional_positions": [[0.5000, 0.5000, 0.5000], [0.0000, 0.0000, 0.0000], [0.0000, 0.5000, 0.0000], [0.5000, 0.0000, 0.0000], [0.0000, 0.0000, 0.5000]]}

***

No. 2
{"formula": "HfSi2PPd", "functional": "GGA-PBE", "state": "optimized geometry", "dos_at_fermi_per_ev_cell": 3.54, "final_energy_ev_per_atom": -5.08, "formation_energy_uncorrected_ev_per_atom": 1.2026, "polymorph_energy_mev_per_atom": 790, "magnetic_moment_mub_per_fu": 0.000, "lattice": [[-2.1770, 1.2260, 4.3608], [3.0458, -2.9870, 2.3602], [3.2652, 3.7782, 0.5679]], "species": ["Pd", "Si", "Si", "P", "Hf"], "fractional_positions": [[0.0000, 0.5000, 0.0000], [0.5000, 0.0000, 0.0000], [0.0000, 0.0000, 0.5000], [0.5000, 0.5000, 0.5000], [0.0000, 0.0000, 0.0000]]}

***

No. 3
{"formula": "HfSi2PPd", "functional": "GGA-PBE", "state": "optimized geometry", "dos_at_fermi_per_ev_cell": 3.11, "final_energy_ev_per_atom": -5.87, "formation_energy_uncorrected_ev_per_atom": 0.4127, "polymorph_energy_mev_per_atom": 0, "magnetic_moment_mub_per_fu": 0.000, "lattice": [[4.4206, 0.0000, 0.0000], [0.0000, 4.7422, 0.0000], [0.0000, 0.0000, 4.4206]], "species": ["Si", "Si", "Hf", "Pd", "P"], "fractional_positions": [[0.5000, 0.0000, 0.0000], [0.0000, 0.0000, 0.5000], [0.0000, 0.5000, 0.0000], [0.5000, 0.5000, 0.5000], [0.0000, 0.0000, 0.0000]]}

***

No. 4
{"formula": "PmHfP2", "functional": "GGA-PBE", "state": "optimized geometry", "dos_at_fermi_per_ev_cell": 2.49, "formation_energy_ev_per_atom": -1.32, "final_energy_ev_per_atom": -7.70, "polymorph_energy_mev_per_atom": 98, "magnetic_moment_mub_per_fu": 0.000, "lattice": [[-0.0768, 3.6962, 0.9574], [-2.8789, 2.2173, -1.1747], [-4.4369, 0.4514, 5.5181]], "species": ["P", "P", "Hf", "Pm"], "fractional_positions": [[0.0735, 0.0735, 0.7794], [0.2603, 0.2603, 0.2191], [0.6700, 0.6700, 0.9898], [0.4961, 0.4961, 0.5117]]}

***

No. 5
{"formula": "PmHfP2", "functional": "GGA-PBE", "state": "optimized geometry", "dos_at_fermi_per_ev_cell": 1.51, "formation_energy_ev_per_atom": -1.42, "final_energy_ev_per_atom": -7.80, "polymorph_energy_mev_per_atom": 0, "magnetic_moment_mub_per_fu": 0.000, "lattice": [[-1.7824, -0.1854, -3.4374], [-3.2283, -2.1089, -0.3981], [-5.2267, 4.3838, 0.2879]], "species": ["P", "P", "Pm", "Hf"], "fractional_positions": [[0.2590, 0.2590, 0.2231], [0.7410, 0.7410, 0.7769], [0.5000, 0.5000, 0.5000], [0.0000, 0.0000, 0.0000]]}

***

No. 6
{"formula": "PmHfP2", "functional": "GGA-PBE", "state": "optimized geometry", "dos_at_fermi_per_ev_cell": 3.62, "formation_energy_ev_per_atom": -0.80, "final_energy_ev_per_atom": -7.18, "polymorph_energy_mev_per_atom": 617, "magnetic_moment_mub_per_fu": 0.000, "lattice": [[4.7901, 0.0000, 0.0000], [2.3951, 4.1484, 0.0000], [2.3951, 1.3828, 3.9111]], "species": ["P", "P", "Pm", "Hf"], "fractional_positions": [[0.2500, 0.2500, 0.2500], [0.7500, 0.7500, 0.7500], [0.0000, 0.0000, 0.0000], [0.5000, 0.5000, 0.5000]]}

***

No. 7
{"formula": "PmHfP2", "functional": "GGA-PBE", "state": "optimized geometry", "dos_at_fermi_per_ev_cell": 3.31, "formation_energy_ev_per_atom": -0.77, "final_energy_ev_per_atom": -7.15, "polymorph_energy_mev_per_atom": 653, "magnetic_moment_mub_per_fu": 0.000, "lattice": [[3.1789, 0.0000, 0.0000], [0.0000, 4.9461, 0.0000], [0.0000, 0.0000, 4.9461]], "species": ["P", "P", "Hf", "Pm"], "fractional_positions": [[0.0000, 0.5000, 0.0000], [0.0000, 0.0000, 0.5000], [0.5000, 0.5000, 0.5000], [0.5000, 0.0000, 0.0000]]}

***

No. 8
{"formula": "Pm2HfP3", "functional": "GGA-PBE", "state": "optimized geometry", "dos_at_fermi_per_ev_cell": 2.08, "formation_energy_ev_per_atom": -1.38, "final_energy_ev_per_atom": -7.33, "magnetic_moment_mub_per_fu": 0.000, "lattice": [[3.8951, -0.0003, -0.8875], [-0.2019, 3.8898, -0.8880], [-0.0303, -0.0309, 8.8581]], "species": ["P", "P", "P", "Hf", "Pm", "Pm"], "fractional_positions": [[0.9340, 0.9360, 0.8740], [0.2767, 0.2780, 0.5588], [0.5919, 0.5931, 0.1891], [0.4340, 0.4359, 0.8740], [0.7678, 0.7691, 0.5409], [0.1008, 0.1021, 0.2070]]}